Material: LiYPt2
Method: DFT, GGA-PBEsol
State: optimized geometry

Lattice parameters (Å, degrees): 5.0802 5.0802 5.0802 133.60 133.60 67.71
With the nearest neighbours (Å) after each atom.
Fractional positions:
Li 0.0000 0.0000 0.0000  8 Pt 2.83-2.91, 4 Y 2.91
Y 0.7500 0.2500 0.5000  8 Pt 2.83-2.91, 4 Li 2.91
Pt 0.2500 0.7500 0.5000  4 Y 2.83, 4 Li 2.91, 4 Pt 2.91
Pt 0.5000 0.5000 0.0000  4 Li 2.83, 4 Pt 2.91, 4 Y 2.91

Output
Spin magnetization, μB/f.u.: 0.000
ΔE_f, kJ/mol of atoms: -80
Space-group type: I-4m2
V, Å³/atom: 16.9



Material: PtSeBr
Method: DFT, GGA-PBEsol
State: optimized geometry

Lattice parameters (Å, degrees): 6.8582 6.8582 6.8582 152.94 152.94 38.65
With the nearest neighbours (Å) after each atom.
Fractional positions:
Pt 0.0000 0.0000 0.0000  4 Se 2.49
Se 0.5793 0.5793 0.0000  4 Pt 2.49
Br 0.3023 0.3023 0.0000  4 Br 3.21, 4 Pt 3.42, 1 Se 3.59

Output
Spin magnetization, μB/f.u.: 0.001
Total energy, hartree per atom: -0.1473
Space-group type: I4mm
V, Å³/atom: 22.2



Material: MnGaSN2
Method: DFT, GGA-PBEsol
State: optimized geometry

Lattice parameters (Å, degrees): 3.5571 3.5571 4.9148 90.00 90.00 90.00
With the nearest neighbours (Å) after each atom.
Fractional positions:
Mn 0.0000 0.0000 0.0000  4 N 1.78
Ga 0.5000 0.5000 0.5000  4 S 2.52
S 0.0000 0.0000 0.5000  2 Mn 2.46, 4 Ga 2.52
N 0.0000 0.5000 0.0000  2 Mn 1.78
N 0.5000 0.0000 0.0000  2 Mn 1.78

Output
Spin magnetization, μB/f.u.: 0.002
Total energy, hartree per atom: -0.2427
Space-group type: P4/mmm
V, Å³/atom: 12.4



Material: Co4PtBr
Method: DFT, GGA-PBEsol
State: optimized geometry

Lattice parameters (Å, degrees): 4.7862 4.7862 4.7862 60.00 60.00 60.00
With the nearest neighbours (Å) after each atom.
Fractional positions:
Co 0.3759 0.3759 0.3759  6 Co 2.38-2.41
Co 0.3759 0.3759 0.8722  6 Co 2.38-2.41
Co 0.3759 0.8722 0.3759  6 Co 2.38-2.41
Co 0.8722 0.3759 0.3759  6 Co 2.38-2.41
Pt 0.7500 0.7500 0.7500  12 Co 2.80, 4 Br 2.93
Br 0.0000 0.0000 0.0000  12 Co 2.81, 4 Pt 2.93

Output
Spin magnetization, μB/f.u.: 7.027
Total energy, hartree per atom: -0.2220
Space-group type: F-43m
V, Å³/atom: 12.9